Record 1
Cs3AgH2Cl6 PBE-GGA relaxed; total energy = -3.01 eV/atom; Fermi-level density of states = 0.00 states/eV per cell
1.0
7.1078 0.0000 0.0000
-3.5539 6.1555 0.0000
0.0000 0.0000 8.7316
Cl H Ag Cs
6 2 1 3
Direct
0.1834 0.8166 0.3004
0.6332 0.8166 0.3004
0.8166 0.1834 0.6996
0.1834 0.3668 0.3004
0.3668 0.1834 0.6996
0.8166 0.6332 0.6996
0.3333 0.6667 0.2967
0.6667 0.3333 0.7033
0.0000 0.0000 0.5000
0.0000 0.0000 0.0000
0.6667 0.3333 0.3426
0.3333 0.6667 0.6574

---

Record 2
TmH2Pb PBE-GGA relaxed; total energy = -3.90 eV/atom; Fermi-level density of states = 4.18 states/eV per cell
1.0
-0.4414 3.2066 5.6591
-1.4513 -5.0473 2.7467
6.2513 -1.1710 1.1512
H Pb Tm
8 4 4
Direct
0.4010 0.5489 0.3577
0.0990 0.9511 0.8577
0.9010 0.4511 0.1423
0.0990 0.5489 0.8577
0.5990 0.4511 0.6423
0.5990 0.0489 0.6423
0.9010 0.0489 0.1423
0.4010 0.9511 0.3577
0.6042 0.7500 0.0855
0.1042 0.2500 0.4145
0.3958 0.2500 0.9145
0.8958 0.7500 0.5855
0.5912 0.2500 0.3739
0.4088 0.7500 0.6261
0.9088 0.2500 0.8739
0.0912 0.7500 0.1261

---

Record 3
RuAuF6 PBE-GGA relaxed; total energy = -4.35 eV/atom; Fermi-level density of states = 0.32 states/eV per cell
1.0
5.3364 -0.4033 0.4141
0.5671 4.8559 2.6507
-0.1605 0.4224 5.0944
F Au Ru
6 1 1
Direct
0.2747 0.4874 0.3034
0.6740 0.7942 0.0000
0.7253 0.5126 0.6966
0.7253 0.2092 0.3034
0.2747 0.7908 0.6966
0.3260 0.2058 0.0000
0.0000 0.0000 0.0000
0.5000 0.5000 0.0000